{"formula": "Ac3ZnSi", "functional": "PBE", "state": "relaxed", "e_above_lowest_polymorph_ev_per_atom": 0.017, "raw_formation_energy_ev_per_atom": -0.27, "lattice": [[4.3344, 0.0000, 0.0000], [2.1640, 8.2961, 0.0000], [0.0052, 0.2826, 9.2009]], "species": ["Ac", "Ac", "Ac", "Ac", "Ac", "Ac", "Zn", "Zn", "Si", "Si"], "fractional_positions": [[0.0481, 0.4049, 0.1722], [0.2410, 0.0180, 0.8275], [0.4034, 0.6974, 0.4133], [0.5966, 0.3026, 0.5867], [0.7590, 0.9820, 0.1725], [0.9519, 0.5951, 0.8278], [0.2103, 0.0769, 0.4352], [0.7897, 0.9231, 0.5648], [0.3918, 0.7160, 0.0662], [0.6082, 0.2840, 0.9338]]}